1.
First-principles (PBE-GGA) data for an optimized crystal structure of CrFe4Te, as listed in Alexandria.

Cell: 6.8456 6.8456 6.8456 Å, 90.00 90.00 90.00°
Space group F-43m (No. 216)
Unique sites:
Cr: 0.0000 0.0000 0.0000 x4
Fe: 0.1259 0.1259 0.6259 x16
Te: 0.2500 0.2500 0.2500 x4

Properties
- formation energy (no corrections) (eV per formula unit) = 2.18

2.
First-principles (PBE-GGA) data for an optimized crystal structure of La4TmIn2, as listed in Alexandria.

Cell: 6.2777 8.4802 9.3075 Å, 83.51 76.89 70.91°
Space group P1 (No. 1)
Unique sites:
La: 0.0000 0.0000 0.0000 x1
La: 0.0008 0.9673 0.6032 x1
La: 0.0916 0.2743 0.3565 x1
La: 0.4174 0.5035 0.4570 x1
La: 0.4389 0.1920 0.9992 x1
La: 0.5535 0.7768 0.8598 x1
La: 0.7452 0.4645 0.1034 x1
La: 0.7771 0.7367 0.4439 x1
Tm: 0.1622 0.5734 0.8123 x1
Tm: 0.8058 0.3705 0.7249 x1
In: 0.1781 0.5996 0.1383 x1
In: 0.3640 0.8650 0.2417 x1
In: 0.3807 0.1553 0.6606 x1
In: 0.6695 0.1267 0.3268 x1

Properties
- offset from the most stable computed form (eV per atom) = 0.000
- energy relative to the elements (eV per formula unit) = -1.373

3.
First-principles (PBE-GGA) data for an optimized crystal structure of TbTm6Tl, as listed in Alexandria.

Cell: 4.8572 4.8572 9.8811 Å, 90.00 90.00 90.00°
Space group P4/mmm (No. 123)
Unique sites:
Tb: 0.0000 0.0000 0.0000 x1
Tm: 0.0000 0.5000 0.2539 x4
Tm: 0.5000 0.5000 0.0000 x1
Tm: 0.5000 0.5000 0.5000 x1
Tl: 0.0000 0.0000 0.5000 x1

Properties
- offset from the most stable computed form (eV per atom) = 0.000
- energy relative to the elements (eV per formula unit) = -0.542

4.
First-principles (PBE-GGA) data for an optimized crystal structure of Ho5HfAg4, as listed in Alexandria.

Cell: 3.5328 3.5328 19.3726 Å, 90.00 90.00 90.00°
Space group P4/mmm (No. 123)
Unique sites:
Ho: 0.0000 0.0000 0.0000 x1
Ho: 0.0000 0.0000 0.1928 x2
Ho: 0.0000 0.0000 0.3872 x2
Hf: 0.5000 0.5000 0.5000 x1
Ag: 0.5000 0.5000 0.0955 x2
Ag: 0.5000 0.5000 0.2893 x2

Properties
- energy relative to the elements (eV per formula unit) = -2.191

5.
First-principles (PBE-GGA) data for an optimized crystal structure of Nd4AlInAg2, as listed in Alexandria.

Cell: 5.3693 5.3693 26.3543 Å, 90.00 90.00 120.00°
Space group R-3m (No. 166, hexagonal axes)
Unique sites:
Nd: 0.0000 0.0000 0.1220 x6
Nd: 0.0000 0.0000 0.3721 x6
Al: 0.0000 0.0000 0.0000 x3
In: 0.0000 0.0000 0.5000 x3
Ag: 0.0000 0.0000 0.2481 x6

Properties
- energy relative to the elements (eV per formula unit) = -2.608

6.
First-principles (PBE-GGA) data for an optimized crystal structure of LaNbCuBi2, as listed in Alexandria.

Cell: 5.4864 5.4864 4.8828 Å, 90.00 90.00 90.00°
Space group P4/mmm (No. 123)
Unique sites:
La: 0.0000 0.0000 0.0000 x1
Nb: 0.5000 0.5000 0.5000 x1
Cu: 0.5000 0.5000 0.0000 x1
Bi: 0.0000 0.5000 0.5000 x2

Properties
- energy relative to the elements (eV per formula unit) = 0.621

7.
First-principles (PBE-GGA) data for an optimized crystal structure of TlCuSiTc2, as listed in Alexandria.

Cell: 4.5169 4.5169 5.0126 Å, 90.00 90.00 90.00°
Space group P4/mmm (No. 123)
Unique sites:
Tl: 0.0000 0.0000 0.0000 x1
Cu: 0.5000 0.5000 0.0000 x1
Si: 0.0000 0.0000 0.5000 x1
Tc: 0.0000 0.5000 0.5000 x2

Properties
- formation energy (no corrections) (eV per formula unit) = 6.18

8.
First-principles (PBE-GGA) data for an optimized crystal structure of FeHgAs2, as listed in Alexandria.

Cell: 2.9549 2.9549 8.9254 Å, 90.00 90.00 90.00°
Space group P4/mmm (No. 123)
Unique sites:
Fe: 0.0000 0.0000 0.0000 x1
Hg: 0.0000 0.0000 0.5000 x1
As: 0.5000 0.5000 0.1590 x2

Properties
- energy relative to the elements (eV per formula unit) = 0.058

9.
First-principles (PBE-GGA) data for an optimized crystal structure of Zr3Al3Ni2, as listed in Alexandria.

Cell: 7.5057 7.5057 2.7490 Å, 90.00 90.00 120.00°
Space group P-62m (No. 189)
Unique sites:
Zr: 0.0000 0.7562 0.0000 x3
Al: 0.0000 0.4097 0.5000 x3
Ni: 0.3333 0.6667 0.0000 x2

Properties
- offset from the most stable computed form (eV per atom) = 0.178
- energy relative to the elements (eV per formula unit) = -2.797

10.
First-principles (PBE-GGA) data for an optimized crystal structure of NaLa2MgNi, as listed in Alexandria.

Cell: 5.4585 5.4585 5.1772 Å, 90.00 90.00 90.00°
Space group P4/mmm (No. 123)
Unique sites:
Na: 0.0000 0.0000 0.0000 x1
La: 0.0000 0.5000 0.5000 x2
Mg: 0.5000 0.5000 0.0000 x1
Ni: 0.5000 0.5000 0.5000 x1

Properties
- energy relative to the elements (eV per formula unit) = -0.325

11.
First-principles (PBE-GGA) data for an optimized crystal structure of TaAl2W, as listed in Alexandria.

Cell: 3.4306 4.3756 8.5800 Å, 90.00 90.00 90.00°
Space group Cmmm (No. 65)
Unique sites:
Ta: 0.0000 0.0000 0.0000 x2
Al: 0.0000 0.5000 0.2553 x4
W: 0.0000 0.0000 0.5000 x2

Properties
- offset from the most stable computed form (eV per atom) = 0.066
- energy relative to the elements (eV per formula unit) = -0.336

12.
First-principles (PBE-GGA) data for an optimized crystal structure of Sc2GaNi5B2, as listed in Alexandria.

Cell: 8.8003 8.8003 3.0498 Å, 90.00 90.00 90.00°
Space group P4/mbm (No. 127)
Unique sites:
Sc: 0.1785 0.3215 0.0000 x4
Ga: 0.0000 0.0000 0.0000 x2
Ni: 0.0000 0.5000 0.5000 x2
Ni: 0.0669 0.7744 0.5000 x8
B: 0.1169 0.6169 0.0000 x4

Properties
- energy relative to the elements (eV per formula unit) = -5.154

N(E_F) across the listed records, respectively: 25.87; 18.45; 8.36; 7.76; 27.35; 2.77; 4.57; 1.97; 5.85; 4.37; 4.21; 14.52 states/eV per cell.
Uncorrected energy across the listed records, respectively: -7.41; -4.43; -4.30; -4.64; -4.23; -5.25; -5.29; -4.50; -6.40; -3.77; -8.16; -6.31 eV/atom.